CuAs2IrRu: optimized geometry, GGA-PBE.

CIF file:
```
data_CuAs2IrRu
_space_group_name_H-M_alt 'P 4/m m m'
_space_group_IT_number 123
_space_group_name_Hall '-P 4 2'
_cell_length_a 4.6592
_cell_length_b 4.6592
_cell_length_c 4.8502
_cell_angle_alpha 90.00
_cell_angle_beta 90.00
_cell_angle_gamma 90.00
loop_
_atom_site_label
_atom_site_type_symbol
_atom_site_fract_x
_atom_site_fract_y
_atom_site_fract_z
Cu1 Cu 0.0000 0.0000 0.0000
As1 As 0.0000 0.5000 0.5000
Ir1 Ir 0.5000 0.5000 0.0000
Ru1 Ru 0.5000 0.5000 0.5000
```

Results
Crystal system ... tetragonal
Total magnetic moment ... 0.00 μB per atom
DFT formation energy ... 1103 meV per atom

Ca2YSc: optimized geometry, GGA-PBE.

CIF file:
```
data_Ca2YSc
_space_group_name_H-M_alt 'C 1 m 1'
_space_group_IT_number 8
_cell_length_a 11.9766
_cell_length_b 3.6103
_cell_length_c 6.4293
_cell_angle_alpha 90.00
_cell_angle_beta 100.74
_cell_angle_gamma 90.00
loop_
_space_group_symop_operation_xyz
'x,y,z'
'x,-y,z'
'x+1/2,y+1/2,z'
'x+1/2,-y+1/2,z'
loop_
_atom_site_label
_atom_site_type_symbol
_atom_site_fract_x
_atom_site_fract_y
_atom_site_fract_z
Ca1 Ca 0.0000 0.0000 0.0000
Ca2 Ca 0.2406 0.0000 0.7419
Y1 Y 0.4820 0.0000 0.4711
Sc1 Sc 0.2494 0.5000 0.2635
```

Results
Relative energy among the computed polymorphs ... 93 meV per atom
Crystal system ... monoclinic
Total magnetic moment ... 0.39 μB per atom
DFT formation energy ... 182 meV per atom

Pm2Dy7Tm3: optimized geometry, GGA-PBE.

CIF file:
```
data_Pm2Dy7Tm3
_space_group_name_H-M_alt 'P 1 2/m 1'
_space_group_IT_number 10
_cell_length_a 5.7496
_cell_length_b 3.5746
_cell_length_c 18.6364
_cell_angle_alpha 90.00
_cell_angle_beta 93.77
_cell_angle_gamma 90.00
loop_
_space_group_symop_operation_xyz
'x,y,z'
'-x,-y,-z'
'-x,y,-z'
'x,-y,z'
loop_
_atom_site_label
_atom_site_type_symbol
_atom_site_fract_x
_atom_site_fract_y
_atom_site_fract_z
Pm1 Pm 0.2044 0.0000 0.2948
Dy1 Dy 0.1772 0.5000 0.1419
Dy2 Dy 0.2415 0.0000 0.4627
Dy3 Dy 0.3201 0.0000 0.8235
Dy4 Dy 0.5000 0.5000 0.0000
Tm1 Tm 0.0000 0.0000 0.0000
Tm2 Tm 0.2804 0.5000 0.6302
```

Results
Relative energy among the computed polymorphs ... 0 meV per atom
Crystal system ... monoclinic
Total magnetic moment ... 0.00 μB per atom
DFT formation energy ... 88 meV per atom

RhWS2: optimized geometry, GGA-PBE.

CIF file:
```
data_RhWS2
_space_group_name_H-M_alt 'F m -3 m'
_space_group_IT_number 225
_space_group_name_Hall '-F 4 2 3'
_cell_length_a 6.0491
_cell_length_b 6.0491
_cell_length_c 6.0491
_cell_angle_alpha 90.00
_cell_angle_beta 90.00
_cell_angle_gamma 90.00
loop_
_atom_site_label
_atom_site_type_symbol
_atom_site_fract_x
_atom_site_fract_y
_atom_site_fract_z
Rh1 Rh 0.0000 0.0000 0.0000
W1 W 0.0000 0.0000 0.5000
S1 S 0.2500 0.2500 0.2500
```

Results
Relative energy among the computed polymorphs ... 371 meV per atom
Crystal system ... cubic
Total magnetic moment ... 0.00 μB per atom

Nb6VW2: optimized geometry, GGA-PBE.

CIF file:
```
data_Nb6VW2
_space_group_name_H-M_alt 'C 1 2/m 1'
_space_group_IT_number 12
_cell_length_a 5.1667
_cell_length_b 14.1036
_cell_length_c 4.7137
_cell_angle_alpha 90.00
_cell_angle_beta 113.26
_cell_angle_gamma 90.00
loop_
_space_group_symop_operation_xyz
'x,y,z'
'-x,-y,-z'
'-x,y,-z'
'x,-y,z'
'x+1/2,y+1/2,z'
'-x+1/2,-y+1/2,-z'
'-x+1/2,y+1/2,-z'
'x+1/2,-y+1/2,z'
loop_
_atom_site_label
_atom_site_type_symbol
_atom_site_fract_x
_atom_site_fract_y
_atom_site_fract_z
Nb1 Nb 0.1722 0.0000 0.3337
Nb2 Nb 0.1733 0.1632 0.8308
V1 V 0.0000 0.5000 0.0000
W1 W 0.0000 0.3393 0.5000
```

Results
Relative energy among the computed polymorphs ... 136 meV per atom
Crystal system ... monoclinic
Total magnetic moment ... 0.00 μB per atom
DFT formation energy ... 126 meV per atom

RbScSe2: optimized geometry, GGA-PBE.

CIF file:
```
data_RbScSe2
_space_group_name_H-M_alt 'C m c m'
_space_group_IT_number 63
_space_group_name_Hall '-C 2c 2'
_cell_length_a 4.8636
_cell_length_b 23.5041
_cell_length_c 5.2511
_cell_angle_alpha 90.00
_cell_angle_beta 90.00
_cell_angle_gamma 90.00
loop_
_atom_site_label
_atom_site_type_symbol
_atom_site_fract_x
_atom_site_fract_y
_atom_site_fract_z
Rb1 Rb 0.0000 0.1799 0.2500
Sc1 Sc 0.0000 0.4348 0.2500
Se1 Se 0.0000 0.3302 0.2500
Se2 Se 0.0000 0.4493 0.7500
```

Results
Crystal system ... orthorhombic
Raw total energy ... -4.790 eV/atom
Total magnetic moment ... 0.00 μB per atom

AgHg3: optimized geometry, GGA-PBE.

CIF file:
```
data_AgHg3
_space_group_name_H-M_alt 'P 4/m m m'
_space_group_IT_number 123
_space_group_name_Hall '-P 4 2'
_cell_length_a 5.4998
_cell_length_b 5.4998
_cell_length_c 3.0820
_cell_angle_alpha 90.00
_cell_angle_beta 90.00
_cell_angle_gamma 90.00
loop_
_atom_site_label
_atom_site_type_symbol
_atom_site_fract_x
_atom_site_fract_y
_atom_site_fract_z
Ag1 Ag 0.0000 0.0000 0.0000
Hg1 Hg 0.0000 0.5000 0.5000
Hg2 Hg 0.5000 0.5000 0.0000
```

Results
Crystal system ... tetragonal
Total magnetic moment ... 0.00 μB per atom
DFT formation energy ... 99 meV per atom

GaHgB: optimized geometry, GGA-PBE.

CIF file:
```
data_GaHgB
_space_group_name_H-M_alt 'P 1'
_space_group_IT_number 1
_cell_length_a 3.1320
_cell_length_b 6.1875
_cell_length_c 6.4292
_cell_angle_alpha 69.49
_cell_angle_beta 89.82
_cell_angle_gamma 75.60
loop_
_space_group_symop_operation_xyz
'x,y,z'
loop_
_atom_site_label
_atom_site_type_symbol
_atom_site_fract_x
_atom_site_fract_y
_atom_site_fract_z
Ga1 Ga 0.0000 0.0000 0.0000
Ga2 Ga 0.0212 0.9268 0.6237
Hg1 Hg 0.2184 0.4444 0.6868
Hg2 Hg 0.6965 0.5807 0.1747
B1 B 0.4242 0.1253 0.3225
B2 B 0.9101 0.1553 0.2608
```

Results
Crystal system ... triclinic
Total magnetic moment ... 0.00 μB per atom
DFT formation energy ... 293 meV per atom

PuIn4Ag2Pd: optimized geometry, GGA-PBE.

CIF file:
```
data_PuIn4Ag2Pd
_space_group_name_H-M_alt 'R -3 m'
_space_group_IT_number 166
_space_group_name_Hall '-R 3 2"'
_cell_length_a 4.7513
_cell_length_b 4.7513
_cell_length_c 27.0801
_cell_angle_alpha 90.00
_cell_angle_beta 90.00
_cell_angle_gamma 120.00
loop_
_atom_site_label
_atom_site_type_symbol
_atom_site_fract_x
_atom_site_fract_y
_atom_site_fract_z
Pu1 Pu 0.0000 0.0000 0.0000
In1 In 0.0000 0.0000 0.1309
In2 In 0.0000 0.0000 0.3932
Ag1 Ag 0.0000 0.0000 0.2478
Pd1 Pd 0.0000 0.0000 0.5000
```

Results
Crystal system ... trigonal
Total magnetic moment ... 0.74 μB per atom
DFT formation energy ... -140 meV per atom

LaSmSe3: optimized geometry, GGA-PBE.

CIF file:
```
data_LaSmSe3
_space_group_name_H-M_alt 'P m m n'
_space_group_IT_number 59
_cell_length_a 4.2334
_cell_length_b 7.1732
_cell_length_c 9.2584
_cell_angle_alpha 90.00
_cell_angle_beta 90.00
_cell_angle_gamma 90.00
loop_
_space_group_symop_operation_xyz
'x,y,z'
'-x,-y,-z'
'-x+1/2,-y+1/2,z'
'x+1/2,y+1/2,-z'
'x+1/2,-y,-z'
'-x+1/2,y,z'
'-x,y+1/2,-z'
'x,-y+1/2,z'
loop_
_atom_site_label
_atom_site_type_symbol
_atom_site_fract_x
_atom_site_fract_y
_atom_site_fract_z
La1 La 0.2500 0.2500 0.1489
Sm1 Sm 0.2500 0.7500 0.3995
Se1 Se 0.2500 0.5203 0.6682
Se2 Se 0.2500 0.7500 0.0698
```

Results
Relative energy among the computed polymorphs ... 48 meV per atom
Crystal system ... orthorhombic
Total magnetic moment ... 0.00 μB per atom

TaAlBr: optimized geometry, GGA-PBE.

CIF file:
```
data_TaAlBr
_space_group_name_H-M_alt 'P m n 21'
_space_group_IT_number 31
_cell_length_a 3.4421
_cell_length_b 10.8478
_cell_length_c 3.6217
_cell_angle_alpha 90.00
_cell_angle_beta 90.00
_cell_angle_gamma 90.00
loop_
_space_group_symop_operation_xyz
'x,y,z'
'-x+1/2,-y,z+1/2'
'-x,y,z'
'x+1/2,-y,z+1/2'
loop_
_atom_site_label
_atom_site_type_symbol
_atom_site_fract_x
_atom_site_fract_y
_atom_site_fract_z
Ta1 Ta 0.0000 0.0682 0.0000
Al1 Al 0.0000 0.8163 0.9881
Br1 Br 0.0000 0.3407 0.7438
```

Results
Relative energy among the computed polymorphs ... 51 meV per atom
Crystal system ... orthorhombic
Total magnetic moment ... 0.00 μB per atom

PrGdScAg: optimized geometry, GGA-PBE.

CIF file:
```
data_PrGdScAg
_space_group_name_H-M_alt 'F -4 3 m'
_space_group_IT_number 216
_space_group_name_Hall 'F -4 2 3'
_cell_length_a 7.5925
_cell_length_b 7.5925
_cell_length_c 7.5925
_cell_angle_alpha 90.00
_cell_angle_beta 90.00
_cell_angle_gamma 90.00
loop_
_atom_site_label
_atom_site_type_symbol
_atom_site_fract_x
_atom_site_fract_y
_atom_site_fract_z
Pr1 Pr 0.0000 0.0000 0.0000
Gd1 Gd 0.0000 0.0000 0.5000
Sc1 Sc 0.2500 0.2500 0.7500
Ag1 Ag 0.2500 0.2500 0.2500
```

Results
Crystal system ... cubic
Total magnetic moment ... 1.89 μB per atom
DFT formation energy ... 39 meV per atom

Which value of total magnetic moment does entry 7 give? 0.00 μB per atom

Please write out number 10 again, unchanged.
LaSmSe3: optimized geometry, GGA-PBE.

CIF file:
```
data_LaSmSe3
_space_group_name_H-M_alt 'P m m n'
_space_group_IT_number 59
_cell_length_a 4.2334
_cell_length_b 7.1732
_cell_length_c 9.2584
_cell_angle_alpha 90.00
_cell_angle_beta 90.00
_cell_angle_gamma 90.00
loop_
_space_group_symop_operation_xyz
'x,y,z'
'-x,-y,-z'
'-x+1/2,-y+1/2,z'
'x+1/2,y+1/2,-z'
'x+1/2,-y,-z'
'-x+1/2,y,z'
'-x,y+1/2,-z'
'x,-y+1/2,z'
loop_
_atom_site_label
_atom_site_type_symbol
_atom_site_fract_x
_atom_site_fract_y
_atom_site_fract_z
La1 La 0.2500 0.2500 0.1489
Sm1 Sm 0.2500 0.7500 0.3995
Se1 Se 0.2500 0.5203 0.6682
Se2 Se 0.2500 0.7500 0.0698
```

Results
Relative energy among the computed polymorphs ... 48 meV per atom
Crystal system ... orthorhombic
Total magnetic moment ... 0.00 μB per atom